Pm2GaCo2 | PBE | relaxed

## Properties
Total DFT energy (no corrections) = -5.669 eV/atom

Cell and atoms, written as CIF:
```
data_Pm2GaCo2
_chemical_formula_sum 'Pm8 Ga4 Co8'
_cell_length_a 9.4792
_cell_length_b 5.5126
_cell_length_c 7.6845
_cell_angle_alpha 90.00
_cell_angle_beta 104.11
_cell_angle_gamma 90.00
_space_group_name_H-M_alt 'C 1 2/c 1'
_space_group_IT_number 15
_space_group_name_Hall '-C 2yc'
loop_
_atom_site_label
_atom_site_type_symbol
_atom_site_fract_x
_atom_site_fract_y
_atom_site_fract_z
Pm1 Pm 0.1450 0.1499 0.1453
Ga1 Ga 0.0000 0.3721 0.7500
Co1 Co 0.1442 0.3538 0.5058
```

Pm3Ga9Co2 | PBE | relaxed

## Properties
Total DFT energy (no corrections) = -4.492 eV/atom

Cell and atoms, written as CIF:
```
data_Pm3Ga9Co2
_chemical_formula_sum 'Pm6 Ga18 Co4'
_cell_length_a 4.2607
_cell_length_b 9.5753
_cell_length_c 12.4426
_cell_angle_alpha 90.00
_cell_angle_beta 90.00
_cell_angle_gamma 90.00
_space_group_name_H-M_alt 'I m m m'
_space_group_IT_number 71
_space_group_name_Hall '-I 2 2'
loop_
_atom_site_label
_atom_site_type_symbol
_atom_site_fract_x
_atom_site_fract_y
_atom_site_fract_z
Pm1 Pm 0.0000 0.0000 0.0000
Pm2 Pm 0.0000 0.0000 0.3047
Ga1 Ga 0.0000 0.2820 0.1279
Ga2 Ga 0.0000 0.3605 0.3470
Ga3 Ga 0.0000 0.5000 0.0000
Co1 Co 0.0000 0.1853 0.5000
```

PmGaCo3 | PBE | relaxed

## Properties
Total DFT energy (no corrections) = -5.964 eV/atom

Cell and atoms, written as CIF:
```
data_PmGaCo3
_chemical_formula_sum 'Pm4 Ga4 Co12'
_cell_length_a 4.7108
_cell_length_b 8.3785
_cell_length_c 8.4316
_cell_angle_alpha 90.00
_cell_angle_beta 90.00
_cell_angle_gamma 90.00
_space_group_name_H-M_alt 'I m m a'
_space_group_IT_number 74
_space_group_name_Hall '-I 2b 2'
loop_
_atom_site_label
_atom_site_type_symbol
_atom_site_fract_x
_atom_site_fract_y
_atom_site_fract_z
Pm1 Pm 0.0000 0.2500 0.0520
Ga1 Ga 0.0000 0.0000 0.5000
Co1 Co 0.0000 0.2500 0.6864
Co2 Co 0.2500 0.0158 0.7500
```

Number 1: D(E_F) 0.798 states/eV per atom. Number 2: D(E_F) 0.465 states/eV per atom. Number 3: D(E_F) 1.110 states/eV per atom.